Record 1
VASP calculation (PBE+U) on CrPOsO2 after structural relaxation.

POSCAR file:
```
CrPOsO2
1.0
3.736 0.000 0.000
0.000 3.736 0.000
0.000 0.000 5.383
O P Cr Os
2 1 1 1
Direct
0.500 0.000 0.000
0.000 0.500 0.000
0.000 0.000 0.500
0.500 0.500 0.500
0.000 0.000 0.000
```

ΔE to the lowest computed polymorph ... 0.00 kcal/mol of atoms
Crystal system ... tetragonal
SG ... P4/mmm, No. 123



Record 2
VASP calculation (PBE+U) on CrPOsO2 after structural relaxation.

POSCAR file:
```
CrPOsO2
1.0
3.529 0.000 0.000
0.000 3.529 0.000
0.000 0.000 6.479
O Os P Cr
2 1 1 1
Direct
0.500 0.000 0.000
0.000 0.500 0.000
0.500 0.500 0.500
0.000 0.000 0.500
0.000 0.000 0.000
```

ΔE to the lowest computed polymorph ... 10.85 kcal/mol of atoms
Crystal system ... tetragonal
SG ... P4/mmm, No. 123



Record 3
VASP calculation (PBE+U) on CrP2OsO after structural relaxation.

POSCAR file:
```
CrP2OsO
1.0
-0.123 -4.274 -1.886
4.621 -0.390 0.581
-0.499 -1.340 3.070
P O Cr Os
2 1 1 1
Direct
0.500 0.000 0.000
0.000 0.500 0.000
0.000 0.000 0.500
0.000 0.000 0.000
0.500 0.500 0.500
```

ΔE to the lowest computed polymorph ... 10.53 kcal/mol of atoms
Crystal system ... tetragonal
SG ... P4/mmm, No. 123



Record 4
VASP calculation (PBE+U) on CrP2OsO after structural relaxation.

POSCAR file:
```
CrP2OsO
1.0
4.793 0.000 0.000
0.000 4.793 0.000
0.000 0.000 3.685
O Os P Cr
1 1 2 1
Direct
0.000 0.000 0.500
0.000 0.000 0.000
0.500 0.000 0.000
0.000 0.500 0.000
0.500 0.500 0.500
```

ΔE to the lowest computed polymorph ... 0.00 kcal/mol of atoms
Crystal system ... tetragonal
SG ... P4/mmm, No. 123



Record 5
VASP calculation (PBE+U) on PaCrOsO6 after structural relaxation.

POSCAR file:
```
PaCrOsO6
1.0
-1.800 -4.699 1.766
3.508 0.174 -4.013
6.619 -0.367 5.771
O Pa Cr Os
12 2 2 2
Direct
0.669 0.980 0.875
0.311 0.980 0.625
0.980 0.669 0.375
0.020 0.331 0.625
0.689 0.669 0.125
0.331 0.020 0.125
0.669 0.689 0.625
0.689 0.020 0.375
0.980 0.311 0.125
0.331 0.311 0.375
0.311 0.331 0.875
0.020 0.689 0.875
0.667 0.333 0.750
0.333 0.667 0.250
0.667 0.333 0.250
0.333 0.667 0.750
0.000 0.000 0.000
0.000 0.000 0.500
```

Total DFT energy (no corrections) ... -76.121 eV per formula unit
Crystal system ... trigonal
SG ... P-31c, No. 163



Record 6
VASP calculation (PBE+U) on CrOsPb2O8 after structural relaxation.

POSCAR file:
```
CrOsPb2O8
1.0
-1.261 -0.583 4.676
4.241 -2.262 0.808
2.807 5.791 1.479
Pb O Os Cr
2 8 1 1
Direct
0.500 0.500 0.257
0.500 0.500 0.743
0.174 0.824 0.239
0.290 0.287 0.500
0.724 0.727 0.000
0.276 0.273 0.000
0.826 0.176 0.761
0.710 0.713 0.500
0.174 0.824 0.761
0.826 0.176 0.239
0.000 0.000 0.000
0.000 0.000 0.500
```

Total DFT energy (no corrections) ... -78.504 eV per formula unit
Crystal system ... monoclinic
SG ... P2/m, No. 10



Record 7
VASP calculation (PBE+U) on RbCrOsO6 after structural relaxation.

POSCAR file:
```
RbCrOsO6
1.0
-4.994 -1.506 0.434
-1.470 -3.086 3.965
-1.229 5.087 3.490
O Os Rb Cr
6 1 1 1
Direct
0.016 0.601 0.670
0.600 0.016 0.330
0.600 0.384 0.670
0.017 0.383 0.330
0.383 0.017 0.670
0.384 0.600 0.330
0.333 0.333 0.500
0.000 0.000 0.000
0.667 0.667 0.500
```

Total DFT energy (no corrections) ... -61.661 eV per formula unit
Crystal system ... monoclinic
SG ... C2, No. 5



Record 8
VASP calculation (PBE+U) on Rb2CrOsO6 after structural relaxation.

POSCAR file:
```
Rb2CrOsO6
1.0
-2.219 0.414 -4.547
0.629 -6.152 -0.867
-5.147 2.260 2.718
O Cr Rb Os
6 1 2 1
Direct
0.235 0.861 0.139
0.765 0.139 0.861
0.235 0.861 0.722
0.765 0.722 0.861
0.235 0.278 0.139
0.765 0.139 0.278
0.500 0.000 0.000
0.254 0.333 0.667
0.746 0.667 0.333
0.000 0.000 0.000
```

Total DFT energy (no corrections) ... -64.435 eV per formula unit
Crystal system ... trigonal
SG ... P-3m1, No. 164